Density functional theory data (PBE) for a relaxed structure of ZnWBr2.

CIF file:
```
data_ZnWBr2
_cell_length_a 3.2812
_cell_length_b 3.2812
_cell_length_c 27.1843
_cell_angle_alpha 90.00
_cell_angle_beta 90.00
_cell_angle_gamma 120.00
_space_group_name_H-M_alt 'R 3 m'
_space_group_IT_number 160
_space_group_name_Hall 'R 3 -2"'
loop_
_atom_site_label
_atom_site_type_symbol
_atom_site_fract_x
_atom_site_fract_y
_atom_site_fract_z
Zn1 Zn 0.0000 0.0000 0.0000
W1 W 0.0000 0.0000 0.2562
Br1 Br 0.0000 0.0000 0.5257
Br2 Br 0.0000 0.0000 0.7338
```

Output
For the energy above the most stable polymorph in this dataset, the calculation gives 53.7 meV per atom. The value obtained for the energy relative to the elements, uncorrected is 0.20 eV/atom. Its uncorrected energy is -4.19 eV/atom. As for the volume: 253.5 Å³ per cell.